The following is a PBE calculation of TmGaHg2 after structural relaxation, from Alexandria.

abc: 3.3509 3.3509 32.2258
angles: 90.00 90.00 120.00
With the nearest neighbours (Å) after each atom.
Space group R-3m (No. 166, hexagonal axes)
Unique sites:
Tm (0.0000, 0.0000, 0.0000) x3  2 Hg 3.02, 6 Tm 3.35
Ga (0.0000, 0.0000, 0.5000) x3  6 Hg 3.04, 6 Ga 3.35
Hg (0.0000, 0.0000, 0.0937) x6  1 Tm 3.02, 3 Ga 3.04, 6 Hg 3.35

Results
* ΔH_f (0 K): 0.12 eV/atom